one) {"formula": "TiBeCoPb2", "functional": "PBE", "state": "relaxed", "magnetic_moment_mub_per_cell": 0.00, "rho_g_cm3": 7.9, "space_group": "P4/mmm (123)", "lattice_angstrom": [[-4.677, 1.410, -0.975], [-1.262, -1.370, 4.070], [0.984, 4.528, 1.830]], "species": ["Pb", "Ti", "Pb", "Be", "Co"], "frac_coords": [[0.000, 0.000, 0.500], [0.000, 0.500, 0.000], [0.500, 0.000, 0.000], [0.500, 0.500, 0.500], [0.000, 0.000, 0.000]]}

=====

two) {"formula": "TiBeCoPb2", "functional": "PBE", "state": "relaxed", "magnetic_moment_mub_per_cell": 0.00, "rho_g_cm3": 7.1, "space_group": "P4/mmm (123)", "lattice_angstrom": [[-4.800, -2.584, 0.407], [1.274, -2.809, -2.808], [2.013, -3.108, 4.021]], "species": ["Be", "Co", "Ti", "Pb", "Pb"], "frac_coords": [[0.500, 0.500, 0.500], [0.000, 0.500, 0.000], [0.000, 0.000, 0.000], [0.000, 0.000, 0.500], [0.500, 0.000, 0.000]]}

=====

Stability check: which of them is most stable? one).

=====

one) {"formula": "Be3CoPd", "functional": "PBE", "state": "relaxed", "magnetic_moment_mub_per_cell": 0.00, "rho_g_cm3": 5.5, "space_group": "Pm-3m (221)", "lattice_angstrom": [[3.867, 0.000, 0.000], [0.000, 3.867, 0.000], [0.000, 0.000, 3.867]], "species": ["Be", "Be", "Be", "Pd", "Co"], "frac_coords": [[0.000, 0.500, 0.000], [0.000, 0.000, 0.500], [0.500, 0.000, 0.000], [0.500, 0.500, 0.500], [0.000, 0.000, 0.000]]}

=====

two) {"formula": "Be3CoPd", "functional": "PBE", "state": "relaxed", "magnetic_moment_mub_per_cell": 1.33, "rho_g_cm3": 4.6, "space_group": "Pm-3m (221)", "lattice_angstrom": [[-2.989, 2.186, -1.763], [-2.773, -1.894, 2.355], [0.441, 2.908, 2.858]], "species": ["Pd", "Be", "Be", "Co", "Be"], "frac_coords": [[0.000, 0.000, 0.000], [0.500, 0.000, 0.000], [0.000, 0.500, 0.000], [0.500, 0.500, 0.500], [0.000, 0.000, 0.500]]}

=====

Stability check: which of them is most stable? one).

=====

one) {"formula": "Pm2BeCo", "functional": "PBE", "state": "relaxed", "magnetic_moment_mub_per_cell": 0.00, "rho_g_cm3": 6.4, "space_group": "Cm (8)", "lattice_angstrom": [[-3.710, -0.175, 1.093], [-2.696, -1.248, -2.493], [-1.155, -7.147, 1.797]], "species": ["Co", "Be", "Pm", "Pm"], "frac_coords": [[0.136, 0.898, 0.830], [0.469, 0.232, 0.829], [0.889, 0.653, 0.569], [0.716, 0.479, 0.089]]}

=====

two) {"formula": "Pm2BeCo", "functional": "PBE", "state": "relaxed", "magnetic_moment_mub_per_cell": 0.46, "rho_g_cm3": 7.1, "space_group": "P4/mmm (123)", "lattice_angstrom": [[-0.436, -0.887, -3.347], [-1.184, -3.132, 0.985], [-6.422, 2.484, 0.177]], "species": ["Co", "Be", "Pm", "Pm"], "frac_coords": [[0.500, 0.500, 0.000], [0.500, 0.500, 0.500], [0.000, 0.000, 0.246], [0.000, 0.000, 0.754]]}

=====

Stability check: which of them is most stable? one).

=====

one) {"formula": "Be3CoPt", "functional": "PBE", "state": "relaxed", "magnetic_moment_mub_per_cell": 0.00, "rho_g_cm3": 8.2, "space_group": "Pm-3m (221)", "lattice_angstrom": [[-1.080, 0.752, 3.613], [-3.623, 0.502, -1.188], [-0.704, -3.737, 0.568]], "species": ["Co", "Be", "Be", "Be", "Pt"], "frac_coords": [[0.000, 0.000, 0.000], [0.500, 0.000, 0.000], [0.000, 0.500, 0.000], [0.000, 0.000, 0.500], [0.500, 0.500, 0.500]]}

=====

two) {"formula": "Be3CoPt", "functional": "PBE", "state": "relaxed", "magnetic_moment_mub_per_cell": 1.59, "rho_g_cm3": 6.4, "space_group": "Pm-3m (221)", "lattice_angstrom": [[4.176, 0.000, 0.000], [0.000, 4.176, 0.000], [0.000, 0.000, 4.176]], "species": ["Be", "Co", "Pt", "Be", "Be"], "frac_coords": [[0.000, 0.000, 0.500], [0.500, 0.500, 0.500], [0.000, 0.000, 0.000], [0.500, 0.000, 0.000], [0.000, 0.500, 0.000]]}

=====

Stability check: which of them is most stable? one).

=====

one) {"formula": "BeCo2Pt2", "functional": "PBE", "state": "relaxed", "magnetic_moment_mub_per_cell": 6.51, "rho_g_cm3": 13.5, "space_group": "P4/mbm (127)", "lattice_angstrom": [[-1.018, -5.364, -1.359], [1.487, -1.596, 5.186], [-3.812, 0.414, 1.221]], "species": ["Pt", "Co", "Co", "Pt", "Co", "Co", "Be", "Be", "Pt", "Pt"], "frac_coords": [[0.831, 0.331, 0.500], [0.860, 0.640, 0.000], [0.640, 0.140, 0.000], [0.331, 0.169, 0.500], [0.360, 0.860, 0.000], [0.140, 0.360, 0.000], [0.500, 0.500, 0.000], [0.000, 0.000, 0.000], [0.169, 0.669, 0.500], [0.669, 0.831, 0.500]]}

=====

two) {"formula": "BeCo2Pt2", "functional": "PBE", "state": "relaxed", "magnetic_moment_mub_per_cell": 3.72, "rho_g_cm3": 12.9, "space_group": "I4/mmm (139)", "lattice_angstrom": [[-5.340, 4.851, 1.012], [-3.824, 5.388, -3.068], [3.119, -6.577, 0.293]], "species": ["Pt", "Be", "Co", "Pt", "Co"], "frac_coords": [[0.404, 0.404, 0.000], [0.000, 0.000, 0.000], [0.250, 0.750, 0.500], [0.596, 0.596, 0.000], [0.750, 0.250, 0.500]]}

=====

Stability check: which of them is most stable? one).

=====

one) {"formula": "BeCo2Pt2", "functional": "PBE", "state": "relaxed", "magnetic_moment_mub_per_cell": 8.47, "rho_g_cm3": 12.5, "space_group": "P4/mbm (127)", "lattice_angstrom": [[-3.465, -0.329, 4.703], [-3.657, -3.496, -2.938], [2.040, -3.208, 1.278]], "species": ["Co", "Co", "Be", "Pt", "Co", "Be", "Co", "Pt", "Pt", "Pt"], "frac_coords": [[0.852, 0.352, 0.500], [0.148, 0.648, 0.500], [0.500, 0.500, 0.000], [0.656, 0.156, 0.000], [0.648, 0.852, 0.500], [0.000, 0.000, 0.000], [0.352, 0.148, 0.500], [0.844, 0.656, 0.000], [0.344, 0.844, 0.000], [0.156, 0.344, 0.000]]}

=====

two) {"formula": "BeCo2Pt2", "functional": "PBE", "state": "relaxed", "magnetic_moment_mub_per_cell": 4.35, "rho_g_cm3": 11.3, "space_group": "I4/mmm (139)", "lattice_angstrom": [[-4.974, -3.021, 1.802], [-5.821, 0.983, -1.506], [5.651, -0.617, -2.193]], "species": ["Pt", "Co", "Co", "Be", "Pt"], "frac_coords": [[0.250, 0.750, 0.500], [0.596, 0.596, 0.000], [0.404, 0.404, 0.000], [0.000, 0.000, 0.000], [0.750, 0.250, 0.500]]}

=====

Stability check: which of them is most stable? one).

=====

one) {"formula": "BeCoPt", "functional": "PBE", "state": "relaxed", "magnetic_moment_mub_per_cell": 1.82, "rho_g_cm3": 12.2, "space_group": "P3m1 (156)", "lattice_angstrom": [[-0.470, -1.639, -3.537], [-2.696, -0.563, 2.799], [-1.316, 2.170, -0.831]], "species": ["Pt", "Be", "Co"], "frac_coords": [[0.333, 0.667, 0.737], [0.000, 0.000, 0.001], [0.667, 0.333, 0.262]]}

=====

two) {"formula": "BeCoPt", "functional": "PBE", "state": "relaxed", "magnetic_moment_mub_per_cell": 6.35, "rho_g_cm3": 11.7, "space_group": "Pnma (62)", "lattice_angstrom": [[3.826, 0.000, 0.000], [0.000, 5.322, 0.000], [0.000, 0.000, 7.342]], "species": ["Pt", "Co", "Be", "Co", "Co", "Co", "Pt", "Pt", "Be", "Pt", "Be", "Be"], "frac_coords": [[0.250, 0.483, 0.354], [0.750, 0.476, 0.089], [0.750, 0.792, 0.871], [0.250, 0.524, 0.911], [0.750, 0.024, 0.589], [0.250, 0.976, 0.411], [0.750, 0.983, 0.146], [0.750, 0.517, 0.646], [0.750, 0.708, 0.371], [0.250, 0.017, 0.854], [0.250, 0.292, 0.629], [0.250, 0.208, 0.129]]}

=====

three) {"formula": "BeCoPt", "functional": "PBE", "state": "relaxed", "magnetic_moment_mub_per_cell": 1.59, "rho_g_cm3": 12.8, "space_group": "I4mm (107)", "lattice_angstrom": [[-1.059, 2.406, -4.161], [-1.000, -0.265, -4.812], [-2.741, -0.008, -0.216]], "species": ["Pt", "Co", "Be"], "frac_coords": [[0.652, 0.652, 0.348], [0.353, 0.353, 0.647], [0.995, 0.995, 0.005]]}

=====

Stability check: which of them is most stable? three).

=====

one) {"formula": "RbBeCo2", "functional": "PBE", "state": "relaxed", "magnetic_moment_mub_per_cell": 1.06, "rho_g_cm3": 5.9, "space_group": "Fm-3m (225)", "lattice_angstrom": [[0.000, 3.108, 3.108], [3.108, 0.000, 3.108], [3.108, 3.108, 0.000]], "species": ["Co", "Co", "Be", "Rb"], "frac_coords": [[0.250, 0.250, 0.250], [0.750, 0.750, 0.750], [0.000, 0.000, 0.000], [0.500, 0.500, 0.500]]}

=====

two) {"formula": "RbBeCo2", "functional": "PBE", "state": "relaxed", "magnetic_moment_mub_per_cell": 5.63, "rho_g_cm3": 4.1, "space_group": "I4_1/amd (141)", "lattice_angstrom": [[-0.031, 4.550, -1.263], [-2.245, 1.097, 4.006], [5.668, 3.851, 4.905]], "species": ["Co", "Rb", "Be", "Co", "Be", "Co", "Rb", "Co"], "frac_coords": [[0.375, 0.625, 0.750], [0.750, 0.250, 0.500], [0.250, 0.750, 0.500], [0.375, 0.125, 0.250], [0.500, 0.500, 0.000], [0.375, 0.625, 0.250], [0.000, 0.000, 0.000], [0.875, 0.625, 0.750]]}

=====

Stability check: which of them is most stable? two).

=====

one) {"formula": "BeCoRh3", "functional": "PBE", "state": "relaxed", "magnetic_moment_mub_per_cell": 3.55, "rho_g_cm3": 9.2, "space_group": "Pm-3m (221)", "lattice_angstrom": [[-0.884, 0.388, -3.963], [-2.401, -3.291, 0.213], [-3.177, 2.379, 0.941]], "species": ["Rh", "Rh", "Rh", "Be", "Co"], "frac_coords": [[0.500, 0.000, 0.000], [0.000, 0.000, 0.500], [0.000, 0.500, 0.000], [0.000, 0.000, 0.000], [0.500, 0.500, 0.500]]}

=====

two) {"formula": "BeCoRh3", "functional": "PBE", "state": "relaxed", "magnetic_moment_mub_per_cell": 3.84, "rho_g_cm3": 7.2, "space_group": "Pm-3m (221)", "lattice_angstrom": [[4.421, 0.000, 0.000], [0.000, 4.421, 0.000], [0.000, 0.000, 4.421]], "species": ["Be", "Rh", "Rh", "Co", "Rh"], "frac_coords": [[0.500, 0.500, 0.500], [0.500, 0.000, 0.000], [0.000, 0.500, 0.000], [0.000, 0.000, 0.000], [0.000, 0.000, 0.500]]}

=====

Stability check: which of them is most stable? one).

=====

one) {"formula": "Be3CoRh", "functional": "PBE", "state": "relaxed", "magnetic_moment_mub_per_cell": 1.68, "rho_g_cm3": 4.7, "space_group": "Pm-3m (221)", "lattice_angstrom": [[-2.902, 0.795, -2.739], [-2.824, -0.262, 2.917], [0.393, 3.982, 0.739]], "species": ["Rh", "Be", "Be", "Co", "Be"], "frac_coords": [[0.000, 0.000, 0.000], [0.500, 0.000, 0.000], [0.000, 0.000, 0.500], [0.500, 0.500, 0.500], [0.000, 0.500, 0.000]]}

=====

two) {"formula": "Be3CoRh", "functional": "PBE", "state": "relaxed", "magnetic_moment_mub_per_cell": 0.91, "rho_g_cm3": 6.5, "space_group": "Cm (8)", "lattice_angstrom": [[3.523, -0.750, 0.696], [-0.997, 4.541, 0.188], [1.250, 0.131, 3.436]], "species": ["Co", "Be", "Rh", "Be", "Be"], "frac_coords": [[0.886, 0.741, 0.023], [0.079, 0.528, 0.427], [0.489, 0.140, 0.222], [0.679, 0.928, 0.627], [0.320, 0.388, 0.807]]}

=====

Stability check: which of them is most stable? two).

=====

one) {"formula": "TiBeCoRh", "functional": "PBE", "state": "relaxed", "magnetic_moment_mub_per_cell": 0.00, "rho_g_cm3": 7.6, "space_group": "F-43m (216)", "lattice_angstrom": [[4.081, 0.000, 0.000], [2.041, 3.535, 0.000], [2.041, 1.178, 3.332]], "species": ["Rh", "Co", "Ti", "Be"], "frac_coords": [[0.500, 0.500, 0.500], [0.000, 0.000, 0.000], [0.250, 0.250, 0.250], [0.750, 0.750, 0.750]]}

=====

two) {"formula": "TiBeCoRh", "functional": "PBE", "state": "relaxed", "magnetic_moment_mub_per_cell": 0.16, "rho_g_cm3": 7.6, "space_group": "P4mm (99)", "lattice_angstrom": [[2.935, 0.000, 0.000], [0.000, 2.935, 0.000], [0.000, 0.000, 5.561]], "species": ["Ti", "Be", "Rh", "Co"], "frac_coords": [[0.500, 0.500, 0.123], [0.500, 0.500, 0.600], [0.000, 0.000, 0.834], [0.000, 0.000, 0.371]]}

=====

Stability check: which of them is most stable? one).

=====

one) {"formula": "Be4CoRu", "functional": "PBE", "state": "relaxed", "magnetic_moment_mub_per_cell": 0.99, "rho_g_cm3": 5.4, "space_group": "Pmmm (47)", "lattice_angstrom": [[-1.482, 0.675, -1.715], [-4.992, -3.874, 2.789], [-1.082, 2.884, 2.070]], "species": ["Be", "Ru", "Be", "Be", "Co", "Be"], "frac_coords": [[0.000, 0.184, 0.500], [0.500, 0.500, 0.500], [0.500, 0.285, 0.000], [0.000, 0.816, 0.500], [0.000, 0.000, 0.000], [0.500, 0.715, 0.000]]}

=====

two) {"formula": "Be4CoRu", "functional": "PBE", "state": "relaxed", "magnetic_moment_mub_per_cell": 0.63, "rho_g_cm3": 6.0, "space_group": "F-43m (216)", "lattice_angstrom": [[-0.696, 2.614, -3.263], [-2.527, -1.208, -3.181], [-3.801, 1.811, -0.491]], "species": ["Be", "Be", "Be", "Co", "Be", "Ru"], "frac_coords": [[0.625, 0.125, 0.625], [0.625, 0.625, 0.625], [0.125, 0.625, 0.625], [0.250, 0.250, 0.250], [0.625, 0.625, 0.125], [0.000, 0.000, 0.000]]}

=====

Stability check: which of them is most stable? two).